No. 1
The following is a SCAN calculation of a crystal of LaBrO2 relaxed with PBEsol, from Alexandria via LeMat-Bulk.

## Properties
Raw formation energy: -2.355 eV per atom
V: 79 Å³ per cell

Cell lengths 3.897, 3.897, 6.381 Å; angles 72.22, 72.22, 60.00 degrees
Fractional coordinates of all 4 atoms:
Br (0.000, 0.000, 0.000)
O (0.885, 0.885, 0.346)
O (0.115, 0.115, 0.654)
La (0.500, 0.500, 0.500)



No. 2
The following is a SCAN calculation of a crystal of La2BrO2 relaxed with PBEsol, from Alexandria via LeMat-Bulk.

## Properties
Raw formation energy: -3.180 eV per atom
V: 106 Å³ per cell

Cell lengths 4.153, 4.153, 6.799 Å; angles 107.78, 107.78, 90.00 degrees
Site moments in Bohr magnetons follow the coordinates.
Fractional coordinates of all 5 atoms:
Br (0.000, 0.000, 0.000)  -0.02
O (0.250, 0.750, 0.500)  -0.01
O (0.750, 0.250, 0.500)  -0.01
La (0.343, 0.343, 0.686)  -0.22
La (0.657, 0.657, 0.314)  -0.22



No. 3
The following is a SCAN calculation of a crystal of LaRhBrO2 relaxed with PBEsol, from Alexandria via LeMat-Bulk.

## Properties
Raw formation energy: -1.126 eV per atom
V: 87 Å³ per cell

Cell lengths 4.025, 4.025, 5.398 Å; angles 90.00, 90.00, 90.00 degrees
Site moments in Bohr magnetons follow the coordinates.
Fractional coordinates of all 5 atoms:
Rh (0.000, 0.000, 0.000)  0.65
O (0.000, 0.500, 0.000)  0.33
O (0.500, 0.000, 0.000)  0.33
Br (0.500, 0.500, 0.500)  0.00
La (0.000, 0.000, 0.500)  -0.04



No. 4
The following is a SCAN calculation of a crystal of LaOsBr3 relaxed with PBEsol, from Alexandria via LeMat-Bulk.

## Properties
Raw formation energy: -0.057 eV per atom
V: 191 Å³ per cell

Cell lengths 5.756, 5.756, 5.756 Å; angles 90.00, 90.00, 90.00 degrees
Site moments in Bohr magnetons follow the coordinates.
Fractional coordinates of all 5 atoms:
Os (0.500, 0.500, 0.500)  2.82
Br (0.000, 0.500, 0.000)  0.03
Br (0.000, 0.000, 0.500)  0.03
Br (0.500, 0.000, 0.000)  0.03
La (0.000, 0.000, 0.000)  0.00



No. 5
The following is a SCAN calculation of a crystal of LaOs2Br relaxed with PBEsol, from Alexandria via LeMat-Bulk.

## Properties
Raw formation energy: 1.037 eV per atom
V: 75 Å³ per cell

Cell lengths 4.084, 4.084, 5.327 Å; angles 112.54, 112.54, 90.00 degrees
Fractional coordinates of all 4 atoms:
Os (0.000, 0.000, 0.000)
Os (0.750, 0.250, 0.500)
Br (0.500, 0.500, 0.000)
La (0.250, 0.750, 0.500)



No. 6
The following is a SCAN calculation of a crystal of LaOs2Br relaxed with PBEsol, from Alexandria via LeMat-Bulk.

## Properties
Raw formation energy: 0.671 eV per atom
V: 88 Å³ per cell

Cell lengths 3.163, 4.802, 5.797 Å; angles 90.00, 90.00, 90.00 degrees
Fractional coordinates of all 4 atoms:
Os (0.000, 0.000, 0.693)
Os (0.000, 0.000, 0.307)
Br (0.500, 0.500, 0.000)
La (0.500, 0.500, 0.500)



No. 7
The following is a SCAN calculation of a crystal of LaOs2Br relaxed with PBEsol, from Alexandria via LeMat-Bulk.

## Properties
Raw formation energy: 1.273 eV per atom
V: 72 Å³ per cell

Cell lengths 2.950, 2.950, 9.649 Å; angles 81.21, 81.21, 60.00 degrees
Fractional coordinates of all 4 atoms:
Os (0.240, 0.240, 0.280)
Os (0.760, 0.760, 0.720)
Br (0.500, 0.500, 0.500)
La (0.000, 0.000, 0.000)



No. 8
The following is a SCAN calculation of a crystal of LaOs2Br2 relaxed with PBEsol, from Alexandria via LeMat-Bulk.

## Properties
Raw formation energy: 0.214 eV per atom
V: 108 Å³ per cell

Cell lengths 4.358, 4.358, 6.456 Å; angles 109.73, 109.73, 90.00 degrees
Fractional coordinates of all 5 atoms:
Os (0.401, 0.401, 0.802)
Os (0.599, 0.599, 0.198)
Br (0.250, 0.750, 0.500)
Br (0.750, 0.250, 0.500)
La (0.000, 0.000, 0.000)



- The lowest raw formation energy belongs to which entry?
  La2BrO2